# NaAgIrSe3

NaAgIrSe3 after structural relaxation (GGA-PBE, the Open Quantum Materials Database).

Lattice parameters (Å, degrees): 7.069 7.069 10.058 90.00 90.00 149.03
Atoms (fractional coordinates):
Na 0.246 0.754 0.750
Na 0.754 0.246 0.250
Ag 0.075 0.925 0.250
Ag 0.925 0.075 0.750
Ir 0.500 0.500 0.000
Ir 0.500 0.500 0.500
Se 0.126 0.874 0.010
Se 0.126 0.874 0.490
Se 0.433 0.567 0.250
Se 0.567 0.433 0.750
Se 0.874 0.126 0.510
Se 0.874 0.126 0.990

Summary:
Symmetry: No. 63
Electronic total energy (eV/atom): -4.1645
Total magnetic moment (μB/atom): 0.0013